Density functional theory data (PBE-GGA) for Mg2HgHIr after structural relaxation.

Unit cell a=4.5313 b=4.5313 c=3.5852 alpha=90.00 beta=90.00 gamma=90.00
Sites, in units of the cell vectors:
H (0.0000, 0.0000, 0.0000)
Mg (0.0000, 0.5000, 0.0000)
Mg (0.5000, 0.0000, 0.0000)
Ir (0.0000, 0.0000, 0.5000)
Hg (0.5000, 0.5000, 0.5000)

Output
Density = 9.98 g cm⁻³
Space-group type = P4/mmm (123)
E_tot = -3.359 eV/atom